Entry 1:
Here is an optimized crystal structure of ScMnCr2 from Alexandria via LeMat-Bulk. Energies are from PBE.

Output
* total moment: 1.174 μB/f.u.
* D(E_F): 1.39 states/eV per atom
* raw total energy: -33.102 eV for the cell shown
* ρ: 6.141 g/cm3
* DFT formation energy: 0.412 eV/atom

Structure (POSCAR):
```
ScMnCr2
1.0
-1.763 1.763 4.437
1.763 -1.763 4.437
1.763 1.763 -4.437
Sc Mn Cr
1 1 2
direct
0.000 0.000 0.000
0.500 0.500 0.000
0.250 0.750 0.500
0.750 0.250 0.500
```

=====

Entry 2:
Here is an optimized crystal structure of ScMn2Cr2 from Alexandria via LeMat-Bulk. Energies are from PBE.

Output
* total moment: 0.000 μB/f.u.
* D(E_F): 0.79 states/eV per atom
* raw total energy: -43.488 eV for the cell shown
* ρ: 6.089 g/cm3
* excess energy over the best structure of this formula in the dataset: 0.000 eV/atom
* DFT formation energy: 0.086 eV/atom

Structure (POSCAR):
```
ScMn2Cr2
1.0
-1.960 1.960 4.595
1.960 -1.960 4.595
1.960 1.960 -4.595
Sc Mn Cr
1 2 2
direct
0.000 0.000 0.000
0.378 0.378 0.000
0.622 0.622 0.000
0.250 0.750 0.500
0.750 0.250 0.500
```

=====

Entry 3:
Here is an optimized crystal structure of ScMnCr2 from Alexandria via LeMat-Bulk. Energies are from PBE.

Output
* total moment: 1.412 μB/f.u.
* D(E_F): 1.02 states/eV per atom
* raw total energy: -33.679 eV for the cell shown
* ρ: 5.983 g/cm3
* DFT formation energy: 0.267 eV/atom

Structure (POSCAR):
```
ScMnCr2
1.0
2.791 0.000 0.000
0.000 3.783 0.000
-1.279 0.000 5.360
Sc Mn Cr
1 1 2
direct
0.000 0.000 0.000
0.291 0.500 0.704
0.508 0.000 0.501
0.713 0.500 0.304
```

=====

Entry 4:
Here is an optimized crystal structure of ScMnCr2 from Alexandria via LeMat-Bulk. Energies are from PBE.

Output
* total moment: 0.007 μB/f.u.
* D(E_F): 0.90 states/eV per atom
* raw total energy: -33.530 eV for the cell shown
* ρ: 6.340 g/cm3
* DFT formation energy: 0.305 eV/atom

Structure (POSCAR):
```
ScMnCr2
1.0
1.496 -2.167 0.000
1.496 2.167 0.000
0.000 0.000 8.236
Sc Mn Cr
1 1 2
direct
0.000 0.000 0.000
0.500 0.500 0.271
0.000 0.000 0.491
0.500 0.500 0.714
```

=====

Entry 5:
Here is an optimized crystal structure of Sc3Mn7Cr2 from Alexandria via LeMat-Bulk. Energies are from PBE.

Output
* total moment: 5.033 μB/f.u.
* D(E_F): 0.89 states/eV per atom
* raw total energy: -102.905 eV for the cell shown
* ρ: 6.177 g/cm3
* DFT formation energy: -0.040 eV/atom

Structure (POSCAR):
```
Sc3Mn7Cr2
1.0
2.525 1.458 7.589
-2.525 1.458 7.589
0.000 -2.915 7.589
Sc Mn Cr
3 7 2
direct
0.000 0.000 0.000
0.143 0.143 0.143
0.857 0.857 0.857
0.079 0.584 0.584
0.416 0.416 0.921
0.416 0.921 0.416
0.500 0.500 0.500
0.584 0.079 0.584
0.584 0.584 0.079
0.921 0.416 0.416
0.334 0.334 0.334
0.666 0.666 0.666
```

=====

Entry 6:
Here is an optimized crystal structure of Sc3Mn8Cr from Alexandria via LeMat-Bulk. Energies are from PBE.

Output
* total moment: 4.427 μB/f.u.
* D(E_F): 1.10 states/eV per atom
* raw total energy: -102.281 eV for the cell shown
* ρ: 6.475 g/cm3
* DFT formation energy: -0.026 eV/atom

Structure (POSCAR):
```
Sc3Mn8Cr
1.0
2.415 1.394 7.950
-2.415 1.394 7.950
0.000 -2.789 7.950
Sc Mn Cr
3 8 1
direct
0.000 0.000 0.000
0.127 0.127 0.127
0.504 0.504 0.504
0.060 0.562 0.562
0.065 0.065 0.569
0.065 0.569 0.065
0.314 0.314 0.314
0.562 0.060 0.562
0.562 0.562 0.060
0.569 0.065 0.065
0.813 0.813 0.813
0.627 0.627 0.627
```

=====

Entry 7:
Here is an optimized crystal structure of ScMnCr2 from Alexandria via LeMat-Bulk. Energies are from PBE.

Output
* total moment: 0.297 μB/f.u.
* D(E_F): 1.14 states/eV per atom
* raw total energy: -33.327 eV for the cell shown
* ρ: 6.255 g/cm3
* DFT formation energy: 0.355 eV/atom

Structure (POSCAR):
```
ScMnCr2
1.0
1.529 -2.143 0.000
1.529 2.143 0.000
0.000 0.000 8.260
Sc Mn Cr
1 1 2
direct
0.000 0.000 0.000
0.000 0.000 0.500
0.500 0.500 0.283
0.500 0.500 0.717
```

=====

Entry 8:
Here is an optimized crystal structure of ScMn2Cr2 from Alexandria via LeMat-Bulk. Energies are from PBE.

Output
* total moment: 0.185 μB/f.u.
* D(E_F): 1.03 states/eV per atom
* raw total energy: -86.048 eV for the cell shown
* ρ: 6.007 g/cm3
* excess energy over the best structure of this formula in the dataset: 0.093 eV/atom
* DFT formation energy: 0.179 eV/atom

Structure (POSCAR):
```
ScMn2Cr2
1.0
7.206 0.000 0.000
0.000 7.206 0.000
0.000 0.000 2.756
Sc Mn Cr
2 4 4
direct
0.000 0.000 0.000
0.500 0.500 0.000
0.150 0.350 0.500
0.350 0.850 0.500
0.650 0.150 0.500
0.850 0.650 0.500
0.142 0.642 0.000
0.358 0.142 0.000
0.642 0.858 0.000
0.858 0.358 0.000
```

=====

Entry 9:
Here is an optimized crystal structure of ScMnCr2 from Alexandria via LeMat-Bulk. Energies are from PBE.

Output
* total moment: 1.681 μB/f.u.
* D(E_F): 1.05 states/eV per atom
* raw total energy: -33.987 eV for the cell shown
* ρ: 6.011 g/cm3
* DFT formation energy: 0.190 eV/atom

Structure (POSCAR):
```
ScMnCr2
1.0
0.000 3.042 3.042
3.042 0.000 3.042
3.042 3.042 0.000
Sc Mn Cr
1 1 2
direct
0.000 0.000 0.000
0.750 0.750 0.750
0.250 0.250 0.250
0.500 0.500 0.500
```

=====

Entry 10:
Here is an optimized crystal structure of ScMn3Cr2 from Alexandria via LeMat-Bulk. Energies are from PBE.

Output
* total moment: 2.326 μB/f.u.
* D(E_F): 0.87 states/eV per atom
* raw total energy: -52.635 eV for the cell shown
* ρ: 6.365 g/cm3
* DFT formation energy: 0.075 eV/atom

Structure (POSCAR):
```
ScMn3Cr2
1.0
4.991 0.000 0.000
-2.496 4.322 0.000
0.000 0.000 3.794
Sc Mn Cr
1 3 2
direct
0.000 0.000 0.000
0.000 0.500 0.500
0.500 0.000 0.500
0.500 0.500 0.500
0.333 0.667 0.000
0.667 0.333 0.000
```

=====

Entry 11:
Here is an optimized crystal structure of ScMnCr2 from Alexandria via LeMat-Bulk. Energies are from PBE.

Output
* total moment: 0.000 μB/f.u.
* D(E_F): 0.84 states/eV per atom
* raw total energy: -33.920 eV for the cell shown
* ρ: 6.338 g/cm3
* DFT formation energy: 0.207 eV/atom

Structure (POSCAR):
```
ScMnCr2
1.0
-1.473 2.107 4.301
1.473 -2.107 4.301
1.473 2.107 -4.301
Sc Mn Cr
1 1 2
direct
0.000 0.000 0.000
0.500 0.500 0.000
0.268 0.768 0.500
0.732 0.232 0.500
```

=====

Entry 12:
Here is an optimized crystal structure of Sc4MnCr from Alexandria via LeMat-Bulk. Energies are from PBE.

Output
* total moment: 7.296 μB/f.u.
* D(E_F): 1.24 states/eV per atom
* raw total energy: -40.088 eV for the cell shown
* ρ: 3.573 g/cm3
* DFT formation energy: 0.672 eV/atom

Structure (POSCAR):
```
Sc4MnCr
1.0
0.000 4.054 4.054
4.054 0.000 4.054
4.054 4.054 0.000
Sc Mn Cr
4 1 1
direct
0.125 0.125 0.125
0.125 0.125 0.625
0.125 0.625 0.125
0.625 0.125 0.125
0.500 0.500 0.500
0.750 0.750 0.750
```

=====

Entry 13:
Here is an optimized crystal structure of Sc2Mn2Cr from Alexandria via LeMat-Bulk. Energies are from PBE.

Output
* total moment: 1.634 μB/f.u.
* D(E_F): 0.87 states/eV per atom
* raw total energy: -80.372 eV for the cell shown
* ρ: 5.209 g/cm3
* DFT formation energy: 0.088 eV/atom

Structure (POSCAR):
```
Sc2Mn2Cr
1.0
5.980 0.000 0.000
0.000 5.980 0.000
0.000 0.000 4.489
Sc Mn Cr
4 4 2
direct
0.177 0.323 0.000
0.323 0.823 0.000
0.677 0.177 0.000
0.823 0.677 0.000
0.133 0.633 0.500
0.367 0.133 0.500
0.633 0.867 0.500
0.867 0.367 0.500
0.000 0.000 0.500
0.500 0.500 0.500
```

=====

Entry 14:
Here is an optimized crystal structure of Sc2Mn15Cr2 from Alexandria via LeMat-Bulk. Energies are from PBE.

Output
* total moment: 0.001 μB/f.u.
* D(E_F): 1.58 states/eV per atom
* raw total energy: -169.107 eV for the cell shown
* ρ: 7.284 g/cm3
* DFT formation energy: 0.018 eV/atom

Structure (POSCAR):
```
Sc2Mn15Cr2
1.0
4.050 2.339 4.083
-4.050 2.339 4.083
0.000 -4.677 4.083
Sc Mn Cr
2 15 2
direct
0.160 0.160 0.160
0.840 0.840 0.840
0.000 0.500 0.500
0.154 0.154 0.663
0.154 0.663 0.154
0.201 0.500 0.799
0.201 0.799 0.500
0.337 0.846 0.846
0.500 0.000 0.500
0.500 0.201 0.799
0.500 0.500 0.000
0.500 0.799 0.201
0.663 0.154 0.154
0.799 0.201 0.500
0.799 0.500 0.201
0.846 0.337 0.846
0.846 0.846 0.337
0.409 0.409 0.409
0.591 0.591 0.591
```

=====

Entry 15:
Here is an optimized crystal structure of ScMnCr2 from Alexandria via LeMat-Bulk. Energies are from PBE.

Output
* total moment: 1.768 μB/f.u.
* D(E_F): 1.20 states/eV per atom
* raw total energy: -33.042 eV for the cell shown
* ρ: 5.893 g/cm3
* DFT formation energy: 0.426 eV/atom

Structure (POSCAR):
```
ScMnCr2
1.0
1.424 0.822 8.179
-1.424 0.822 8.179
0.000 -1.644 8.179
Sc Mn Cr
1 1 2
direct
0.000 0.000 0.000
0.761 0.761 0.761
0.238 0.238 0.238
0.503 0.503 0.503
```

=====

Entry 16:
Here is an optimized crystal structure of ScMnCr2 from Alexandria via LeMat-Bulk. Energies are from PBE.

Output
* total moment: 0.000 μB/f.u.
* D(E_F): 1.14 states/eV per atom
* raw total energy: -65.001 eV for the cell shown
* ρ: 5.767 g/cm3
* DFT formation energy: 0.562 eV/atom

Structure (POSCAR):
```
ScMnCr2
1.0
-3.369 3.369 2.586
3.369 -3.369 2.586
3.369 3.369 -2.586
Sc Mn Cr
2 2 4
direct
0.000 0.000 0.000
0.750 0.250 0.500
0.250 0.750 0.500
0.500 0.500 0.000
0.182 0.625 0.057
0.375 0.432 0.557
0.568 0.125 0.943
0.875 0.818 0.443
```

=====

Entry 17:
Here is an optimized crystal structure of Sc2MnCr2 from Alexandria via LeMat-Bulk. Energies are from PBE.

Output
* total moment: 0.901 μB/f.u.
* D(E_F): 1.03 states/eV per atom
* raw total energy: -80.136 eV for the cell shown
* ρ: 5.196 g/cm3
* DFT formation energy: 0.202 eV/atom

Structure (POSCAR):
```
Sc2MnCr2
1.0
5.883 0.000 0.000
0.000 5.883 0.000
0.000 0.000 4.596
Sc Mn Cr
4 2 4
direct
0.175 0.325 0.000
0.325 0.825 0.000
0.675 0.175 0.000
0.825 0.675 0.000
0.000 0.000 0.500
0.500 0.500 0.500
0.136 0.636 0.500
0.364 0.136 0.500
0.636 0.864 0.500
0.864 0.364 0.500
```

=====

Entry 18:
Here is an optimized crystal structure of ScMn5Cr from Alexandria via LeMat-Bulk. Energies are from PBE.

Output
* total moment: 2.958 μB/f.u.
* D(E_F): 1.19 states/eV per atom
* raw total energy: -247.335 eV for the cell shown
* ρ: 6.874 g/cm3
* DFT formation energy: -0.004 eV/atom

Structure (POSCAR):
```
ScMn5Cr
1.0
7.811 0.000 0.000
0.000 4.672 0.000
0.000 0.000 9.840
Sc Mn Cr
4 20 4
direct
0.248 0.250 0.065
0.252 0.750 0.565
0.748 0.250 0.435
0.752 0.750 0.935
0.055 0.750 0.084
0.072 0.013 0.308
0.072 0.487 0.308
0.090 0.250 0.523
0.190 0.250 0.752
0.310 0.750 0.252
0.410 0.750 0.023
0.428 0.513 0.808
0.428 0.987 0.808
0.445 0.250 0.584
0.555 0.750 0.416
0.572 0.013 0.192
0.572 0.487 0.192
0.590 0.250 0.977
0.690 0.250 0.748
0.810 0.750 0.248
0.910 0.750 0.477
0.928 0.513 0.692
0.928 0.987 0.692
0.945 0.250 0.916
0.135 0.750 0.859
0.365 0.250 0.359
0.635 0.750 0.641
0.865 0.250 0.141
```

=====

Entry 19:
Here is an optimized crystal structure of ScMnCr2Se6 from Alexandria via LeMat-Bulk. Energies are from PBE.

Output
* total moment: 10.001 μB/f.u.
* E_form (uncorrected): -0.733 eV per atom
* D(E_F): 0.41 states/eV per atom
* raw total energy: -62.989 eV for the cell shown
* ρ: 5.272 g/cm3

Structure (POSCAR):
```
ScMnCr2Se6
1.0
3.242 1.872 5.863
-3.242 1.872 5.863
0.000 -3.743 5.863
Sc Mn Cr Se
1 1 2 6
direct
0.000 0.000 0.000
0.499 0.499 0.499
0.314 0.314 0.314
0.817 0.817 0.817
0.090 0.708 0.427
0.224 0.580 0.908
0.427 0.090 0.708
0.580 0.908 0.224
0.708 0.427 0.090
0.908 0.224 0.580
```

=====

Entry 20:
Here is an optimized crystal structure of Y2ScMnCr from Alexandria via LeMat-Bulk. Energies are from PBE.

Output
* total moment: 0.000 μB/f.u.
* D(E_F): 1.11 states/eV per atom
* raw total energy: -35.137 eV for the cell shown
* ρ: 4.675 g/cm3
* DFT formation energy: 0.583 eV/atom

Structure (POSCAR):
```
Y2ScMnCr
1.0
5.350 0.000 0.000
0.000 5.350 0.000
0.000 0.000 4.092
Y Sc Mn Cr
2 1 1 1
direct
0.000 0.500 0.000
0.500 0.000 0.000
0.000 0.000 0.500
0.500 0.500 0.500
0.500 0.500 0.000
```